[1]
A relaxed structure of Tl2MoCl. Source: Alexandria via LeMat-Bulk, functional GGA-PBEsol.

The structure in CIF format:
```
data_Tl2MoCl
_symmetry_space_group_name_H-M 'R -3 m'
_symmetry_Int_Tables_number 166
_symmetry_space_group_name_Hall '-R 3 2"'
_cell_length_a 3.3149
_cell_length_b 3.3149
_cell_length_c 26.5802
_cell_angle_alpha 90.00
_cell_angle_beta 90.00
_cell_angle_gamma 120.00
loop_
_atom_site_label
_atom_site_fract_x
_atom_site_fract_y
_atom_site_fract_z
_atom_site_occupancy
Tl1 0.0000 0.0000 0.2468 1
Mo1 0.0000 0.0000 0.5000 1
Cl1 0.0000 0.0000 0.0000 1
```

Output
As for the electronic total energy: -4.342 eV/atom. The calculation puts the polymorph energy (0 for the lowest one) at 0.00 eV/f.u.

=====

[2]
A relaxed structure of TlMo2Cl. Source: Alexandria via LeMat-Bulk, functional GGA-PBEsol.

The structure in CIF format:
```
data_TlMo2Cl
_symmetry_space_group_name_H-M 'C 1 2/m 1'
_symmetry_Int_Tables_number 12
_cell_length_a 10.3554
_cell_length_b 3.0968
_cell_length_c 7.2805
_cell_angle_alpha 90.00
_cell_angle_beta 126.32
_cell_angle_gamma 90.00
loop_
_symmetry_equiv_pos_as_xyz
'x,y,z'
'-x,-y,-z'
'-x,y,-z'
'x,-y,z'
'x+1/2,y+1/2,z'
'-x+1/2,-y+1/2,-z'
'-x+1/2,y+1/2,-z'
'x+1/2,-y+1/2,z'
loop_
_atom_site_label
_atom_site_fract_x
_atom_site_fract_y
_atom_site_fract_z
_atom_site_occupancy
Tl1 0.0000 0.0000 0.0000 1
Mo1 0.2144 0.0000 0.8543 1
Cl1 0.0000 0.5000 0.5000 1
```

Output
As for the electronic total energy: -6.571 eV/atom. The calculation puts the polymorph energy (0 for the lowest one) at 1.24 eV/f.u.

=====

[3]
A relaxed structure of TlMoCl2. Source: Alexandria via LeMat-Bulk, functional GGA-PBEsol.

The structure in CIF format:
```
data_TlMoCl2
_symmetry_space_group_name_H-M 'R -3 m'
_symmetry_Int_Tables_number 166
_symmetry_space_group_name_Hall '-R 3 2"'
_cell_length_a 3.1550
_cell_length_b 3.1550
_cell_length_c 29.6608
_cell_angle_alpha 90.00
_cell_angle_beta 90.00
_cell_angle_gamma 120.00
loop_
_atom_site_label
_atom_site_fract_x
_atom_site_fract_y
_atom_site_fract_z
_atom_site_occupancy
Tl1 0.0000 0.0000 0.0000 1
Mo1 0.0000 0.0000 0.5000 1
Cl1 0.0000 0.0000 0.2226 1
```

Output
As for the electronic total energy: -4.896 eV/atom.